# CsKInBr3

CsKInBr3 after structural relaxation (PBE, Alexandria via LeMat-Bulk). Values from VASP.

* space group: No. 12
* density: 3.380 g/cm³
* DFT total energy: -2.97 eV/atom
* formation energy from raw total energies: -8.09 eV per formula unit

```
&SYSTEM
  ibrav = 0, nat = 12, ntyp = 4
/
ATOMIC_SPECIES
Cs 132.91 Cs.upf
Br 79.90 Br.upf
K 39.10 K.upf
In 114.82 In.upf
ATOMIC_POSITIONS crystal
Cs 0.655 0.309 0.064
Cs 0.345 0.691 0.936
Br 0.849 0.697 0.222
Br 0.151 0.303 0.778
Br 0.173 0.345 0.337
Br 0.513 0.025 0.206
Br 0.487 0.975 0.794
Br 0.827 0.655 0.663
K 0.337 0.674 0.454
K 0.663 0.326 0.546
In 0.009 0.019 0.340
In 0.991 0.981 0.660
CELL_PARAMETERS angstrom
-5.109 1.447 -0.246
1.939 -4.544 -9.553
-2.322 -7.091 6.522
```

=====

# Dy4BiC

Dy4BiC after structural relaxation (PBE, Alexandria via LeMat-Bulk). Values from VASP.

* space group: No. 12
* density: 7.452 g/cm³
* ΔE to the lowest computed polymorph: 0.1084 eV per atom
* DFT total energy: -5.38 eV/atom
* energy relative to the elements: -0.131 eV/atom

```
&SYSTEM
  ibrav = 0, nat = 12, ntyp = 3
/
ATOMIC_SPECIES
C 12.01 C.upf
Dy 162.50 Dy.upf
Bi 208.98 Bi.upf
ATOMIC_POSITIONS crystal
C 0.889 0.779 0.350
C 0.111 0.221 0.650
Dy 0.389 0.777 0.348
Dy 0.239 0.477 0.667
Dy 0.761 0.523 0.333
Dy 0.022 0.044 0.350
Dy 0.978 0.956 0.650
Dy 0.179 0.359 0.959
Dy 0.821 0.641 0.041
Dy 0.611 0.223 0.652
Bi 0.155 0.309 0.260
Bi 0.845 0.691 0.740
CELL_PARAMETERS angstrom
5.055 0.000 0.000
-2.527 9.767 -1.086
0.000 -4.069 8.315
```

=====

# FeW3N

FeW3N after structural relaxation (PBE, Alexandria via LeMat-Bulk). Values from VASP.

* space group: No. 221
* density: 15.342 g/cm³
* ΔE to the lowest computed polymorph: 0.0000 eV per atom
* DFT total energy: -10.93 eV/atom
* formation energy from raw total energies: 1.02 eV per formula unit

```
&SYSTEM
  ibrav = 0, nat = 5, ntyp = 3
/
ATOMIC_SPECIES
W 183.84 W.upf
Fe 55.84 Fe.upf
N 14.01 N.upf
ATOMIC_POSITIONS crystal
W 0.000 0.500 0.000
W 0.000 0.000 0.500
W 0.500 0.000 0.000
Fe 0.500 0.500 0.500
N 0.000 0.000 0.000
CELL_PARAMETERS angstrom
4.067 0.000 0.000
0.000 4.067 0.000
0.000 0.000 4.067
```

=====

# Sr2MgH8O6

Sr2MgH8O6 after structural relaxation (PBE, Alexandria via LeMat-Bulk). Values from VASP.

* space group: No. 6
* density: 2.105 g/cm³
* ΔE to the lowest computed polymorph: 0.0245 eV per atom
* DFT total energy: -5.00 eV/atom

```
&SYSTEM
  ibrav = 0, nat = 17, ntyp = 4
/
ATOMIC_SPECIES
H 1.01 H.upf
Mg 24.30 Mg.upf
O 16.00 O.upf
Sr 87.62 Sr.upf
ATOMIC_POSITIONS crystal
H 0.205 0.066 0.805
H 0.208 0.906 0.293
H 0.500 0.501 0.790
H 0.500 0.968 0.079
H 0.795 0.066 0.805
H 0.500 0.061 0.590
H 0.792 0.906 0.293
H 0.500 0.542 0.067
Mg 0.500 0.405 0.492
O 0.000 0.097 0.871
O 0.000 0.852 0.361
O 0.500 0.971 0.694
O 0.500 0.555 0.667
O 0.500 0.020 0.180
O 0.500 0.446 0.004
Sr 0.000 0.762 0.663
Sr 0.000 0.252 0.124
CELL_PARAMETERS angstrom
3.876 0.000 0.000
0.000 7.755 0.113
0.000 1.296 7.989
```